Entry 1:
The following is a DFT calculation (PBE) of a geometry-optimized MnSb6Pt structure.

Calculated values
**ΔE_f (raw)**: -188.7 meV/atom

Lattice parameters (Å, degrees): 8.116 8.116 8.111 109.41 109.60 109.43
Sites, in units of the cell vectors:
1 Sb 0.160 0.329 0.489
2 Sb 0.183 0.853 0.347
3 Pt 0.000 0.500 0.000
4 Sb 0.840 0.671 0.511
5 Mn 0.500 0.500 0.500
6 Mn 0.000 0.000 0.500
7 Sb 0.670 0.817 0.164
8 Sb 0.654 0.507 0.836
9 Sb 0.506 0.836 0.653
10 Sb 0.330 0.183 0.836
11 Sb 0.817 0.147 0.653
12 Pt 0.500 0.000 0.000
13 Sb 0.849 0.348 0.196
14 Sb 0.151 0.652 0.804
15 Sb 0.346 0.493 0.164
16 Sb 0.494 0.164 0.347

***

Entry 2:
The following is a DFT calculation (PBE) of a geometry-optimized MnSbPt4 structure.

Calculated values
**ΔE_f (raw)**: -50.1 meV/atom

Lattice parameters (Å, degrees): 5.338 5.338 5.338 60.00 60.00 60.00
Sites, in units of the cell vectors:
1 Pt 0.625 0.625 0.625
2 Pt 0.625 0.625 0.124
3 Pt 0.625 0.124 0.625
4 Sb 0.250 0.250 0.250
5 Pt 0.124 0.625 0.625
6 Mn 0.000 0.000 0.000

***

Entry 3:
The following is a DFT calculation (PBE) of a geometry-optimized MnSbPt3 structure.

Calculated values
**ΔE_f (raw)**: 753.8 meV/atom
**E above lowest polymorph**: 0.0000 eV per atom

Lattice parameters (Å, degrees): 4.619 4.619 4.619 90.00 90.00 90.00
Sites, in units of the cell vectors:
1 Pt 0.000 0.500 0.000
2 Pt 0.000 0.000 0.500
3 Sb 0.500 0.500 0.500
4 Mn 0.000 0.000 0.000
5 Pt 0.500 0.000 0.000

***

Entry 4:
The following is a DFT calculation (PBE) of a geometry-optimized Mn2SbPt structure.

Calculated values
**ΔE_f (raw)**: -30.8 meV/atom

Lattice parameters (Å, degrees): 6.358 4.653 3.187 89.96 59.99 120.79
Sites, in units of the cell vectors:
1 Mn 0.500 0.000 0.500
2 Pt 0.000 0.500 0.500
3 Mn 0.000 0.000 0.000
4 Sb 0.500 0.500 0.000

***

Entry 5:
The following is a DFT calculation (PBE) of a geometry-optimized Mn2SbPt structure.

Calculated values
**ΔE_f (raw)**: -27.9 meV/atom

Lattice parameters (Å, degrees): 3.402 3.402 5.824 90.00 90.00 90.00
Sites, in units of the cell vectors:
1 Sb 0.500 0.500 0.756
2 Mn 0.000 0.000 0.027
3 Pt 0.000 0.000 0.466
4 Mn 0.500 0.500 0.251

***

Entry 6:
The following is a DFT calculation (PBE) of a geometry-optimized MnSb3Pt12 structure.

Calculated values
**ΔE_f (raw)**: -224.7 meV/atom

Lattice parameters (Å, degrees): 4.043 4.043 16.273 90.00 90.00 90.00
Sites, in units of the cell vectors:
1 Pt 0.000 0.500 0.626
2 Pt 0.500 0.000 0.118
3 Pt 0.500 0.000 0.882
4 Sb 0.000 0.000 0.500
5 Pt 0.000 0.500 0.882
6 Pt 0.500 0.500 0.500
7 Pt 0.500 0.500 0.749
8 Pt 0.500 0.500 0.251
9 Pt 0.500 0.500 0.000
10 Pt 0.000 0.500 0.118
11 Mn 0.000 0.000 0.000
12 Sb 0.000 0.000 0.763
13 Sb 0.000 0.000 0.237
14 Pt 0.000 0.500 0.374
15 Pt 0.500 0.000 0.374
16 Pt 0.500 0.000 0.626

***

Entry 7:
The following is a DFT calculation (PBE) of a geometry-optimized Mn2SbPt structure.

Calculated values
**ΔE_f (raw)**: -61.3 meV/atom

Lattice parameters (Å, degrees): 5.097 5.097 5.097 135.06 135.06 65.43
Sites, in units of the cell vectors:
1 Sb 0.750 0.250 0.500
2 Pt 0.500 0.500 0.000
3 Mn 0.250 0.750 0.500
4 Mn 0.000 0.000 0.000

***

Entry 8:
The following is a DFT calculation (PBE) of a geometry-optimized MnSbPt2 structure.

Calculated values
**ΔE_f (raw)**: -242.2 meV/atom

Lattice parameters (Å, degrees): 4.967 4.967 4.967 131.36 131.35 71.25
Sites, in units of the cell vectors:
1 Mn 0.750 0.250 0.500
2 Pt 0.000 0.000 0.000
3 Sb 0.250 0.750 0.500
4 Pt 0.500 0.500 0.000

***

Entry 9:
The following is a DFT calculation (PBE) of a geometry-optimized MnSbPt2 structure.

Calculated values
**ΔE_f (raw)**: 251.6 meV/atom

Lattice parameters (Å, degrees): 3.875 3.875 9.638 78.40 78.40 90.00
Sites, in units of the cell vectors:
1 Sb 0.750 0.250 0.500
2 Pt 0.137 0.625 0.250
3 Mn 0.500 0.500 0.000
4 Sb 0.000 0.000 0.000
5 Pt 0.613 0.125 0.250
6 Pt 0.375 0.387 0.750
7 Mn 0.250 0.750 0.500
8 Pt 0.875 0.863 0.750

***

Entry 10:
The following is a DFT calculation (PBE) of a geometry-optimized Mn2SbPt structure.

Calculated values
**ΔE_f (raw)**: 163.8 meV/atom

Lattice parameters (Å, degrees): 7.234 7.234 5.803 51.44 51.44 90.00
Sites, in units of the cell vectors:
1 Mn 0.638 0.125 0.250
2 Mn 0.875 0.888 0.750
3 Mn 0.112 0.625 0.250
4 Pt 0.750 0.250 0.500
5 Sb 0.250 0.750 0.500
6 Pt 0.000 0.000 0.000
7 Mn 0.375 0.362 0.750
8 Sb 0.500 0.500 0.000

***

Entry 11:
The following is a DFT calculation (PBE) of a geometry-optimized MnSbPt2 structure.

Calculated values
**ΔE_f (raw)**: -113.5 meV/atom

Lattice parameters (Å, degrees): 4.577 4.577 4.577 60.00 60.00 60.00
Sites, in units of the cell vectors:
1 Sb 0.750 0.750 0.750
2 Mn 0.500 0.500 0.500
3 Pt 0.250 0.250 0.250
4 Pt 0.000 0.000 0.000

***

Entry 12:
The following is a DFT calculation (PBE) of a geometry-optimized Mn2SbPt9 structure.

Calculated values
**ΔE_f (raw)**: -310.3 meV/atom

Lattice parameters (Å, degrees): 3.973 3.973 12.023 90.00 90.00 90.00
Sites, in units of the cell vectors:
1 Pt 0.500 0.500 0.000
2 Pt 0.500 0.000 0.500
3 Pt 0.500 0.000 0.177
4 Pt 0.500 0.500 0.662
5 Pt 0.000 0.500 0.500
6 Pt 0.500 0.000 0.823
7 Pt 0.500 0.500 0.338
8 Mn 0.000 0.000 0.340
9 Sb 0.000 0.000 0.000
10 Pt 0.000 0.500 0.823
11 Mn 0.000 0.000 0.660
12 Pt 0.000 0.500 0.177

***

Question: Number 11 is which compound?
Answer: MnSbPt2

***

Question: What is the ΔE_f (raw) in the third record?
Answer: 753.8 meV/atom

***

Question: The highest ΔE_f (raw) belongs to which entry?
Answer: MnSbPt3

***

What did the tenth record say?
The following is a DFT calculation (PBE) of a geometry-optimized Mn2SbPt structure.

Calculated values
**ΔE_f (raw)**: 163.8 meV/atom

Lattice parameters (Å, degrees): 7.234 7.234 5.803 51.44 51.44 90.00
Sites, in units of the cell vectors:
1 Mn 0.638 0.125 0.250
2 Mn 0.875 0.888 0.750
3 Mn 0.112 0.625 0.250
4 Pt 0.750 0.250 0.500
5 Sb 0.250 0.750 0.500
6 Pt 0.000 0.000 0.000
7 Mn 0.375 0.362 0.750
8 Sb 0.500 0.500 0.000